The following is a DFT calculation (PBE) of a geometry-optimized Rb2SnP2 structure.

Cell and atoms, written as CIF:
```
data_Rb2SnP2
_chemical_formula_sum 'Rb8 Sn4 P8'
_space_group_name_H-M_alt 'C 1 2/m 1'
_space_group_IT_number 12
_space_group_name_Hall '-C 2y'
_cell_length_a 15.604
_cell_length_b 6.765
_cell_length_c 10.848
_cell_angle_alpha 90.00
_cell_angle_beta 129.55
_cell_angle_gamma 90.00
loop_
_atom_site_label
_atom_site_type_symbol
_atom_site_fract_x
_atom_site_fract_y
_atom_site_fract_z
_atom_site_occupancy
Rb1 Rb 0.069 0.000 0.290 1
Rb2 Rb 0.176 0.500 0.047 1
Sn1 Sn 0.131 0.500 0.658 1
P1 P 0.042 0.500 0.366 1
P2 P 0.181 0.000 0.106 1
```

The total moment comes out at 0.0 μB/f.u.

The following is a DFT calculation (PBE) of a geometry-optimized BIF2 structure.

Cell and atoms, written as CIF:
```
data_BIF2
_chemical_formula_sum 'B3 I3 F6'
_space_group_name_H-M_alt 'R -3 m'
_space_group_IT_number 166
_space_group_name_Hall '-R 3 2"'
_cell_length_a 3.3134
_cell_length_b 3.3134
_cell_length_c 29.1428
_cell_angle_alpha 90.00
_cell_angle_beta 90.00
_cell_angle_gamma 120.00
loop_
_atom_site_label
_atom_site_type_symbol
_atom_site_fract_x
_atom_site_fract_y
_atom_site_fract_z
_atom_site_occupancy
B1 B 0.0000 0.0000 0.0000 1
I1 I 0.0000 0.0000 0.5000 1
F1 F 0.0000 0.0000 0.0449 1
```

The total moment comes out at 0.1 μB/f.u. For the distance to the lowest polymorph of the same formula, the calculation gives 958.4 meV per atom. The calculation puts the formation energy without anion corrections at -0.888 eV per atom.

The following is a DFT calculation (PBE) of a geometry-optimized NaCdPtPb structure.

Cell and atoms, written as CIF:
```
data_NaCdPtPb
_chemical_formula_sum 'Na4 Cd4 Pt4 Pb4'
_space_group_name_H-M_alt 'F -4 3 m'
_space_group_IT_number 216
_space_group_name_Hall 'F -4 2 3'
_cell_length_a 6.932
_cell_length_b 6.932
_cell_length_c 6.932
_cell_angle_alpha 90.00
_cell_angle_beta 90.00
_cell_angle_gamma 90.00
loop_
_atom_site_label
_atom_site_type_symbol
_atom_site_fract_x
_atom_site_fract_y
_atom_site_fract_z
_atom_site_occupancy
Na1 Na 0.000 0.000 0.000 1
Cd1 Cd 0.250 0.250 0.250 1
Pt1 Pt 0.000 0.000 0.500 1
Pb1 Pb 0.250 0.250 0.750 1
```

The total moment comes out at 0.0 μB/f.u.

The following is a DFT calculation (PBE) of a geometry-optimized AcYCo4 structure.

Cell and atoms, written as CIF:
```
data_AcYCo4
_chemical_formula_sum 'Ac4 Y4 Co16'
_space_group_name_H-M_alt 'F -4 3 m'
_space_group_IT_number 216
_space_group_name_Hall 'F -4 2 3'
_cell_length_a 7.371
_cell_length_b 7.371
_cell_length_c 7.371
_cell_angle_alpha 90.00
_cell_angle_beta 90.00
_cell_angle_gamma 90.00
loop_
_atom_site_label
_atom_site_type_symbol
_atom_site_fract_x
_atom_site_fract_y
_atom_site_fract_z
_atom_site_occupancy
Ac1 Ac 0.000 0.000 0.000 1
Y1 Y 0.250 0.250 0.750 1
Co1 Co 0.124 0.124 0.376 1
```

The total moment comes out at 3.7 μB/f.u.

The following is a DFT calculation (PBE) of a geometry-optimized PtI2BrN structure.

Cell and atoms, written as CIF:
```
data_PtI2BrN
_chemical_formula_sum 'Pt1 I2 Br1 N1'
_space_group_name_H-M_alt 'P 4/m m m'
_space_group_IT_number 123
_space_group_name_Hall '-P 4 2'
_cell_length_a 6.064
_cell_length_b 6.064
_cell_length_c 3.641
_cell_angle_alpha 90.00
_cell_angle_beta 90.00
_cell_angle_gamma 90.00
loop_
_atom_site_label
_atom_site_type_symbol
_atom_site_fract_x
_atom_site_fract_y
_atom_site_fract_z
_atom_site_occupancy
Pt1 Pt 0.000 0.000 0.000 1
I1 I 0.000 0.500 0.500 1
Br1 Br 0.500 0.500 0.500 1
N1 N 0.500 0.500 0.000 1
```

The total moment comes out at 0.0 μB/f.u. For the distance to the lowest polymorph of the same formula, the calculation gives 1099.0 meV per atom. The calculation puts the formation energy without anion corrections at 1.689 eV per atom.

The following is a DFT calculation (PBE) of a geometry-optimized YHgTe2I structure.

Cell and atoms, written as CIF:
```
data_YHgTe2I
_chemical_formula_sum 'Y1 Hg1 Te2 I1'
_space_group_name_H-M_alt 'P 4/m m m'
_space_group_IT_number 123
_space_group_name_Hall '-P 4 2'
_cell_length_a 5.577
_cell_length_b 5.577
_cell_length_c 5.776
_cell_angle_alpha 90.00
_cell_angle_beta 90.00
_cell_angle_gamma 90.00
loop_
_atom_site_label
_atom_site_type_symbol
_atom_site_fract_x
_atom_site_fract_y
_atom_site_fract_z
_atom_site_occupancy
Y1 Y 0.000 0.000 0.000 1
Hg1 Hg 0.500 0.500 0.500 1
Te1 Te 0.000 0.500 0.500 1
I1 I 0.500 0.500 0.000 1
```

The total moment comes out at 0.0 μB/f.u. For the distance to the lowest polymorph of the same formula, the calculation gives 478.4 meV per atom. The calculation puts the formation energy without anion corrections at 0.057 eV per atom.

The following is a DFT calculation (PBE) of a geometry-optimized HfZr3Sc7 structure.

Cell and atoms, written as CIF:
```
data_HfZr3Sc7
_chemical_formula_sum 'Hf1 Zr3 Sc7'
_space_group_name_H-M_alt 'P 3 m 1'
_space_group_IT_number 156
_space_group_name_Hall 'P 3 -2"'
_cell_length_a 6.4017
_cell_length_b 6.4017
_cell_length_c 7.6953
_cell_angle_alpha 90.00
_cell_angle_beta 90.00
_cell_angle_gamma 120.00
loop_
_atom_site_label
_atom_site_type_symbol
_atom_site_fract_x
_atom_site_fract_y
_atom_site_fract_z
_atom_site_occupancy
Hf1 Hf 0.0000 0.0000 0.0000 1
Zr1 Zr 0.1652 0.3304 0.3289 1
Sc1 Sc 0.0008 0.5004 0.0075 1
Sc2 Sc 0.3288 0.1644 0.6607 1
Sc3 Sc 0.3333 0.6667 0.6658 1
```

The total moment comes out at 0.0 μB/f.u.

The following is a DFT calculation (PBE) of a geometry-optimized Be2IrPt structure.

Cell and atoms, written as CIF:
```
data_Be2IrPt
_chemical_formula_sum 'Be2 Ir1 Pt1'
_space_group_name_H-M_alt 'P 4 m m'
_space_group_IT_number 99
_space_group_name_Hall 'P 4 -2'
_cell_length_a 2.847
_cell_length_b 2.847
_cell_length_c 5.686
_cell_angle_alpha 90.00
_cell_angle_beta 90.00
_cell_angle_gamma 90.00
loop_
_atom_site_label
_atom_site_type_symbol
_atom_site_fract_x
_atom_site_fract_y
_atom_site_fract_z
_atom_site_occupancy
Be1 Be 0.000 0.000 0.000 1
Be2 Be 0.500 0.500 0.205 1
Ir1 Ir 0.000 0.000 0.407 1
Pt1 Pt 0.500 0.500 0.777 1
```

The total moment comes out at 0.0 μB/f.u. For the distance to the lowest polymorph of the same formula, the calculation gives 211.5 meV per atom.

The following is a DFT calculation (PBE) of a geometry-optimized Tl2Ni2Hg structure.

Cell and atoms, written as CIF:
```
data_Tl2Ni2Hg
_chemical_formula_sum 'Tl4 Ni4 Hg2'
_space_group_name_H-M_alt 'P 4/m b m'
_space_group_IT_number 127
_space_group_name_Hall '-P 4 2ab'
_cell_length_a 7.154
_cell_length_b 7.154
_cell_length_c 3.651
_cell_angle_alpha 90.00
_cell_angle_beta 90.00
_cell_angle_gamma 90.00
loop_
_atom_site_label
_atom_site_type_symbol
_atom_site_fract_x
_atom_site_fract_y
_atom_site_fract_z
_atom_site_occupancy
Tl1 Tl 0.163 0.337 0.000 1
Ni1 Ni 0.134 0.634 0.500 1
Hg1 Hg 0.000 0.000 0.500 1
```

The total moment comes out at 0.0 μB/f.u. For the distance to the lowest polymorph of the same formula, the calculation gives 0.0 meV per atom.

The following is a DFT calculation (PBE) of a geometry-optimized ScGa3O structure.

Cell and atoms, written as CIF:
```
data_ScGa3O
_chemical_formula_sum 'Sc1 Ga3 O1'
_space_group_name_H-M_alt 'P m -3 m'
_space_group_IT_number 221
_space_group_name_Hall '-P 4 2 3'
_cell_length_a 5.302
_cell_length_b 5.302
_cell_length_c 5.302
_cell_angle_alpha 90.00
_cell_angle_beta 90.00
_cell_angle_gamma 90.00
loop_
_atom_site_label
_atom_site_type_symbol
_atom_site_fract_x
_atom_site_fract_y
_atom_site_fract_z
_atom_site_occupancy
Sc1 Sc 0.000 0.000 0.000 1
Ga1 Ga 0.000 0.000 0.500 1
O1 O 0.500 0.500 0.500 1
```

The total moment comes out at 1.6 μB/f.u. For the distance to the lowest polymorph of the same formula, the calculation gives 1353.2 meV per atom. The calculation puts the formation energy without anion corrections at 0.973 eV per atom.

| no. | final energy (eV/f.u.) | calculated density (g/cm³) | V (Å³ per atom) |
| --- | --- | --- | --- |
| 1 | -17.85 | 2.645 | 44.15 |
| 2 | -15.52 | 3.159 | 23.09 |
| 3 | -12.84 | 10.720 | 20.82 |
| 4 | -38.83 | 9.150 | 16.69 |
| 5 | -10.69 | 6.731 | 26.78 |
| 6 | -14.32 | 6.208 | 35.93 |
| 7 | -77.44 | 4.662 | 24.83 |
| 8 | -24.37 | 14.599 | 11.53 |
| 9 | -15.50 | 12.919 | 18.68 |
| 10 | -15.51 | 3.009 | 29.81 |